Entry 1:
{"formula": "NdSm5Dy4", "functional": "PBE", "state": "optimized geometry", "final_energy_ev_per_cell": -46.6, "polymorph_energy_ev_per_atom": 0.000, "total_magnetization_mub_per_cell": 0.00, "lattice_angstrom": [[3.598, 0.000, 0.000], [1.793, 9.339, 0.000], [0.009, 2.802, 9.782]], "species": ["Nd", "Sm", "Sm", "Sm", "Sm", "Sm", "Dy", "Dy", "Dy", "Dy"], "fractional_positions": [[0.000, 0.000, 0.000], [0.000, 0.000, 0.500], [0.200, 0.599, 0.600], [0.399, 0.202, 0.199], [0.601, 0.798, 0.801], [0.800, 0.401, 0.400], [0.201, 0.600, 0.100], [0.399, 0.202, 0.700], [0.601, 0.798, 0.300], [0.799, 0.400, 0.900]]}

---

Entry 2:
{"formula": "LuZrFePd", "functional": "PBE", "state": "optimized geometry", "final_energy_ev_per_cell": -112.9, "total_magnetization_mub_per_cell": 0.00, "lattice_angstrom": [[6.610, 0.000, 0.000], [0.000, 6.610, 0.000], [0.000, 0.000, 6.610]], "species": ["Lu", "Lu", "Lu", "Lu", "Zr", "Zr", "Zr", "Zr", "Fe", "Fe", "Fe", "Fe", "Pd", "Pd", "Pd", "Pd"], "fractional_positions": [[0.000, 0.000, 0.000], [0.000, 0.500, 0.500], [0.500, 0.000, 0.500], [0.500, 0.500, 0.000], [0.000, 0.000, 0.500], [0.000, 0.500, 0.000], [0.500, 0.000, 0.000], [0.500, 0.500, 0.500], [0.250, 0.250, 0.750], [0.250, 0.750, 0.250], [0.750, 0.250, 0.250], [0.750, 0.750, 0.750], [0.250, 0.250, 0.250], [0.250, 0.750, 0.750], [0.750, 0.250, 0.750], [0.750, 0.750, 0.250]]}

---

Number 1: DFT formation energy 0.015 eV per atom. Number 2: DFT formation energy -0.376 eV per atom.